Entry 1:
Compound: La2AlI
Source: the Alexandria database
Functional: PBE
Structure: relaxed

Summary:
E_form (uncorrected), meV/atom: -495
Polymorph energy (0 for the lowest one), meV per atom: 174
Space group: Fm-3m (225)

Lattice parameters (Å, degrees): 5.5735 5.5735 5.5735 60.00 60.00 60.00
Last column: nearest neighbours and their distance in Å.
Fractional coordinates of all 4 atoms:
La: 0.2500 0.2500 0.2500  4 I 3.41, 4 Al 3.41
La: 0.7500 0.7500 0.7500  4 I 3.41, 4 Al 3.41
Al: 0.0000 0.0000 0.0000  8 La 3.41
I: 0.5000 0.5000 0.5000  8 La 3.41

Entry 2:
Compound: BaSnHg2Sb
Source: the Alexandria database
Functional: PBE
Structure: relaxed

Summary:
E_form (uncorrected), meV/atom: -376
Space group: Imm2 (44)

Lattice parameters (Å, degrees): 6.8440 6.8440 6.8440 136.77 132.72 65.98
Last column: nearest neighbours and their distance in Å.
Fractional coordinates of all 5 atoms:
Ba: 0.0000 0.0000 0.0000  2 Hg 3.59, 2 Sn 3.72, 4 Sb 3.96
Sn: 0.2379 0.7379 0.5000  2 Hg 2.93, 2 Sb 3.08
Hg: 0.3672 0.3672 0.0000  1 Sb 2.87, 2 Sn 2.93, 2 Hg 2.93
Hg: 0.7771 0.2771 0.5000  2 Hg 2.93, 2 Sb 3.12
Sb: 0.6171 0.6171 0.0000  3 Hg 2.87-3.12, 2 Sn 3.08

Entry 3:
Compound: Ba2Tl2Pd
Source: the Alexandria database
Functional: PBE
Structure: relaxed

Summary:
Formation energy, meV/atom: -439.9
Polymorph energy (0 for the lowest one), meV per atom: 0
Space group: C2/m (12)

Lattice parameters (Å, degrees): 6.8236 6.8236 12.9119 111.52 111.52 38.33
Last column: nearest neighbours and their distance in Å.
Fractional coordinates of all 10 atoms:
Ba: 0.0020 0.0020 0.1594  2 Pd 3.35, 4 Tl 3.59-3.68
Ba: 0.1889 0.1889 0.6246  2 Pd 3.40, 6 Tl 3.57-3.76
Ba: 0.8111 0.8111 0.3754  2 Pd 3.40, 6 Tl 3.57-3.76
Ba: 0.9980 0.9980 0.8406  2 Pd 3.35, 4 Tl 3.59-3.68
Tl: 0.3149 0.3149 0.9409  3 Pd 2.89-3.08
Tl: 0.4691 0.4691 0.6141  1 Pd 2.98, 1 Tl 3.34
Tl: 0.5309 0.5309 0.3859  1 Pd 2.98, 1 Tl 3.34
Tl: 0.6851 0.6851 0.0591  3 Pd 2.89-3.08
Pd: 0.3180 0.3180 0.1806  4 Tl 2.89-3.08
Pd: 0.6820 0.6820 0.8194  4 Tl 2.89-3.08

Entry 4:
Compound: Ta2SiMo
Source: the Alexandria database
Functional: PBE
Structure: relaxed

Summary:
E_form (uncorrected), meV/atom: -113
Space group: I4/mmm (139)

Lattice parameters (Å, degrees): 4.7876 4.7876 4.7876 128.41 128.41 75.97
Last column: nearest neighbours and their distance in Å.
Fractional coordinates of all 4 atoms:
Ta: 0.2500 0.7500 0.5000  4 Mo 2.81, 4 Si 2.81, 4 Ta 2.95
Ta: 0.7500 0.2500 0.5000  4 Mo 2.81, 4 Si 2.81, 4 Ta 2.95
Si: 0.0000 0.0000 0.0000  8 Ta 2.81, 4 Mo 2.95
Mo: 0.5000 0.5000 0.0000  8 Ta 2.81, 4 Si 2.95

Entry 5:
Compound: HfPdNF2
Source: the Alexandria database
Functional: PBE
Structure: relaxed

Summary:
E_form (uncorrected), meV/atom: -142
Polymorph energy (0 for the lowest one), meV per atom: 1344
Space group: P4/mmm (123)

Lattice parameters (Å, degrees): 4.0729 4.0729 4.1530 90.00 90.00 90.00
Last column: nearest neighbours and their distance in Å.
Fractional coordinates of all 5 atoms:
Hf: 0.0000 0.0000 0.0000  4 N 2.88, 8 F 2.91
Pd: 0.5000 0.5000 0.5000  4 F 2.04, 2 N 2.08
N: 0.5000 0.5000 0.0000  2 Pd 2.08
F: 0.0000 0.5000 0.5000  2 Pd 2.04
F: 0.5000 0.0000 0.5000  2 Pd 2.04

Entry 6:
Compound: ScZnC2
Source: the Alexandria database
Functional: PBE
Structure: relaxed

Summary:
Formation energy, meV/atom: 909.4
Space group: I-42d (122)

Lattice parameters (Å, degrees): 6.9593 6.9593 6.9593 146.44 146.44 48.19
Last column: nearest neighbours and their distance in Å.
Fractional coordinates of all 8 atoms:
Sc: 0.0000 0.0000 0.0000  4 C 2.39
Sc: 0.7500 0.2500 0.5000  4 C 2.39
Zn: 0.2500 0.7500 0.5000  4 C 1.95
Zn: 0.5000 0.5000 0.0000  4 C 1.95
C: 0.2426 0.6250 0.1176  2 Zn 1.95
C: 0.3750 0.4926 0.6176  2 Zn 1.95
C: 0.5074 0.1250 0.8824  2 Zn 1.95
C: 0.8750 0.7574 0.3824  2 Zn 1.95

Entry 7:
Compound: LiCaCl
Source: the Alexandria database
Functional: PBE
Structure: relaxed

Summary:
E_form (uncorrected), meV/atom: -718
Polymorph energy (0 for the lowest one), meV per atom: 369
Space group: F-43m (216)

Lattice parameters (Å, degrees): 4.8039 4.8039 4.8039 60.00 60.00 60.00
Last column: nearest neighbours and their distance in Å.
Fractional coordinates of all 3 atoms:
Li: 0.0000 0.0000 0.0000  4 Cl 2.94
Ca: 0.5000 0.5000 0.5000  4 Cl 2.94
Cl: 0.7500 0.7500 0.7500  4 Li 2.94, 4 Ca 2.94

Entry 8:
Compound: ZnCuPt2
Source: the Alexandria database
Functional: PBE
Structure: relaxed

Summary:
Formation energy, meV/atom: -374.6
Space group: Pmmm (47)

Lattice parameters (Å, degrees): 2.8416 3.5384 5.6815 90.00 90.00 90.00
Last column: nearest neighbours and their distance in Å.
Fractional coordinates of all 4 atoms:
Zn: 0.0000 0.0000 0.0000  8 Pt 2.68, 2 Cu 2.84, 2 Zn 2.84
Cu: 0.0000 0.0000 0.5000  8 Pt 2.67, 2 Zn 2.84, 2 Cu 2.84
Pt: 0.5000 0.5000 0.2522  4 Cu 2.67, 4 Zn 2.68, 4 Pt 2.82-2.87
Pt: 0.5000 0.5000 0.7478  4 Cu 2.67, 4 Zn 2.68, 4 Pt 2.82-2.87

Number 1: calculated total energy -4.2818 eV/atom. Number 2: calculated total energy -2.5059 eV/atom. Number 3: calculated total energy -3.1941 eV/atom. Number 4: calculated total energy -10.1024 eV/atom. Number 5: calculated total energy -5.5849 eV/atom. Number 6: calculated total energy -5.6039 eV/atom. Number 7: calculated total energy -2.6382 eV/atom. Number 8: calculated total energy -4.7375 eV/atom.